1.
A plane-wave DFT calculation with PBE was carried out for crystalline Sr2ErCd6 at its relaxed geometry.

Unit cell a=8.838 b=8.838 c=3.628 alpha=90.00 beta=90.00 gamma=120.00
Positions (direct):
1 Sr 0.333 0.667 0.000
2 Sr 0.667 0.333 0.000
3 Er 0.000 0.000 0.000
4 Cd 0.000 0.328 0.500
5 Cd 0.000 0.672 0.500
6 Cd 0.328 0.000 0.500
7 Cd 0.328 0.328 0.500
8 Cd 0.672 0.000 0.500
9 Cd 0.672 0.672 0.500

Output
* ΔE_f: -0.288 eV/atom
* crystal system: hexagonal
* final energy: -0.0654 hartree per atom
* space-group type: P6/mmm (191)


2.
A plane-wave DFT calculation with PBE was carried out for crystalline SrErCd4 at its relaxed geometry.

Unit cell a=6.032 b=6.032 c=6.032 alpha=60.00 beta=60.00 gamma=60.00
Positions (direct):
1 Sr 0.000 0.000 0.000
2 Er 0.750 0.750 0.750
3 Cd 0.376 0.376 0.376
4 Cd 0.376 0.376 0.873
5 Cd 0.376 0.873 0.376
6 Cd 0.873 0.376 0.376

Output
* ΔE_f: -0.224 eV/atom
* crystal system: cubic
* final energy: -0.0689 hartree per atom
* space-group type: F-43m (216)


3.
A plane-wave DFT calculation with PBE was carried out for crystalline Sr2ErCd at its relaxed geometry.

Unit cell a=12.575 b=12.575 c=12.575 alpha=17.38 beta=17.38 gamma=17.38
Positions (direct):
1 Sr 0.095 0.095 0.095
2 Sr 0.905 0.905 0.905
3 Er 0.000 0.000 0.000
4 Cd 0.500 0.500 0.500

Output
* ΔE_f: 0.248 eV/atom
* crystal system: trigonal
* final energy: -0.0721 hartree per atom
* space-group type: R-3m (166)


4.
A plane-wave DFT calculation with PBE was carried out for crystalline Sr2ErCd at its relaxed geometry.

Unit cell a=4.248 b=4.248 c=8.088 alpha=90.00 beta=90.00 gamma=90.00
Positions (direct):
1 Sr 0.000 0.000 0.232
2 Sr 0.000 0.000 0.768
3 Er 0.500 0.500 0.500
4 Cd 0.500 0.500 0.000

Output
* ΔE_f: 0.029 eV/atom
* crystal system: tetragonal
* final energy: -0.0802 hartree per atom
* space-group type: P4/mmm (123)


5.
A plane-wave DFT calculation with PBE was carried out for crystalline SrEr2Cd9 at its relaxed geometry.

Unit cell a=10.101 b=10.101 c=10.101 alpha=34.72 beta=34.72 gamma=34.72
Positions (direct):
1 Sr 0.000 0.000 0.000
2 Er 0.146 0.146 0.146
3 Er 0.854 0.854 0.854
4 Cd 0.077 0.591 0.591
5 Cd 0.336 0.336 0.336
6 Cd 0.409 0.409 0.923
7 Cd 0.409 0.923 0.409
8 Cd 0.500 0.500 0.500
9 Cd 0.591 0.077 0.591
10 Cd 0.591 0.591 0.077
11 Cd 0.664 0.664 0.664
12 Cd 0.923 0.409 0.409

Output
* ΔE_f: -0.228 eV/atom
* crystal system: trigonal
* final energy: -0.0667 hartree per atom
* space-group type: R-3m (166)


6.
A plane-wave DFT calculation with PBE was carried out for crystalline SrErCd6 at its relaxed geometry.

Unit cell a=5.129 b=6.930 c=5.687 alpha=90.00 beta=90.00 gamma=90.00
Positions (direct):
1 Sr 0.000 0.000 0.000
2 Er 0.500 0.500 0.315
3 Cd 0.000 0.265 0.491
4 Cd 0.000 0.500 0.977
5 Cd 0.000 0.735 0.491
6 Cd 0.500 0.000 0.413
7 Cd 0.500 0.276 0.829
8 Cd 0.500 0.724 0.829

Output
* ΔE_f: -0.228 eV/atom
* crystal system: orthorhombic
* final energy: -0.0623 hartree per atom
* space-group type: Pmm2 (25)


7.
A plane-wave DFT calculation with PBE was carried out for crystalline SrErCd at its relaxed geometry.

Unit cell a=7.282 b=7.282 c=7.282 alpha=149.33 beta=149.33 gamma=43.93
Positions (direct):
1 Sr 0.000 0.000 0.000
2 Er 0.283 0.283 0.000
3 Cd 0.667 0.667 0.000

Output
* ΔE_f: -0.116 eV/atom
* crystal system: tetragonal
* final energy: -0.0920 hartree per atom
* space-group type: I4mm (107)


8.
A plane-wave DFT calculation with PBE was carried out for crystalline Sr2ErCd10 at its relaxed geometry.

Unit cell a=9.268 b=13.686 c=6.387 alpha=90.00 beta=90.00 gamma=90.00
Positions (direct):
1 Sr 0.202 0.093 0.000
2 Sr 0.298 0.593 0.000
3 Sr 0.702 0.407 0.000
4 Sr 0.798 0.907 0.000
5 Er 0.000 0.000 0.500
6 Er 0.500 0.500 0.500
7 Cd 0.096 0.226 0.500
8 Cd 0.137 0.640 0.500
9 Cd 0.149 0.831 0.221
10 Cd 0.149 0.831 0.779
11 Cd 0.152 0.438 0.500
12 Cd 0.348 0.938 0.500
13 Cd 0.351 0.331 0.221
14 Cd 0.351 0.331 0.779
15 Cd 0.363 0.140 0.500
16 Cd 0.404 0.726 0.500
17 Cd 0.596 0.274 0.500
18 Cd 0.637 0.860 0.500
19 Cd 0.649 0.669 0.221
20 Cd 0.649 0.669 0.779
21 Cd 0.652 0.062 0.500
22 Cd 0.848 0.562 0.500
23 Cd 0.851 0.169 0.221
24 Cd 0.851 0.169 0.779
25 Cd 0.863 0.360 0.500
26 Cd 0.904 0.774 0.500

Output
* ΔE_f: -0.084 eV/atom
* crystal system: orthorhombic
* final energy: -0.0513 hartree per atom
* space-group type: Pbam (55)


9.
A plane-wave DFT calculation with PBE was carried out for crystalline SrEr2Cd3 at its relaxed geometry.

Unit cell a=3.789 b=3.789 c=11.615 alpha=90.00 beta=90.00 gamma=90.00
Positions (direct):
1 Sr 0.000 0.000 0.000
2 Er 0.000 0.000 0.344
3 Er 0.000 0.000 0.656
4 Cd 0.500 0.500 0.194
5 Cd 0.500 0.500 0.500
6 Cd 0.500 0.500 0.806

Output
* ΔE_f: -0.313 eV/atom
* crystal system: tetragonal
* final energy: -0.0945 hartree per atom
* space-group type: P4/mmm (123)


10.
A plane-wave DFT calculation with PBE was carried out for crystalline SrErCd at its relaxed geometry.

Unit cell a=5.428 b=5.428 c=3.984 alpha=90.00 beta=90.00 gamma=120.00
Positions (direct):
1 Sr 0.000 0.000 0.000
2 Er 0.333 0.667 0.495
3 Cd 0.667 0.333 0.519

Output
* ΔE_f: 0.020 eV/atom
* crystal system: trigonal
* final energy: -0.0870 hartree per atom
* space-group type: P3m1 (156)


11.
A plane-wave DFT calculation with PBE was carried out for crystalline SrErTlCd at its relaxed geometry.

Unit cell a=5.510 b=5.510 c=5.510 alpha=60.00 beta=60.00 gamma=60.00
Positions (direct):
1 Sr 0.000 0.000 0.000
2 Er 0.500 0.500 0.500
3 Tl 0.250 0.250 0.250
4 Cd 0.750 0.750 0.750

Output
* ΔE_f: -0.302 eV/atom
* crystal system: cubic
* final energy: -0.0986 hartree per atom
* space-group type: F-43m (216)


12.
A plane-wave DFT calculation with PBE was carried out for crystalline SrErTlCd at its relaxed geometry.

Unit cell a=3.859 b=3.859 c=7.951 alpha=90.00 beta=90.00 gamma=90.00
Positions (direct):
1 Sr 0.000 0.000 0.000
2 Er 0.000 0.000 0.509
3 Tl 0.500 0.500 0.280
4 Cd 0.500 0.500 0.721

Output
* ΔE_f: -0.346 eV/atom
* crystal system: tetragonal
* final energy: -0.1002 hartree per atom
* space-group type: P4mm (99)